No. 1
The following is a DFT calculation (PBE-GGA) of crystalline Pr2Nd7Sc2 at its relaxed geometry.

```
11
Lattice="5.5533 -5.8495 0.0000 5.5533 5.8495 0.0000 -2.2875 0.0000 5.7212" Properties=species:S:1:pos:R:3 pbc="T T T"
Pr 2.1574 0.0000 0.4909
Pr 6.6617 0.0000 5.2303
Nd -1.1438 0.0000 2.8606
Nd 2.8488 3.0425 1.7851
Nd 5.9703 3.0425 3.9361
Nd 3.0565 0.0000 4.0242
Nd 5.7625 0.0000 1.6970
Nd 2.8488 -3.0425 1.7851
Nd 5.9703 -3.0425 3.9361
Sc 5.5533 3.1648 0.0000
Sc 5.5533 -3.1648 0.0000
```

- Crystal system: monoclinic
- Space group: C2/m (12)
- Spin magnetization: 0.00 μB/f.u.
- Energy of formation: 145 meV/atom

***

No. 2
The following is a DFT calculation (PBE-GGA) of crystalline LiSm2Cl2O2 at its relaxed geometry.

```
7
Lattice="3.9437 0.0000 0.0000 -1.9719 3.4154 0.0000 0.0000 0.0000 11.5557" Properties=species:S:1:pos:R:3 pbc="T T T"
Li 0.0000 0.0000 0.0000
Sm 0.0000 2.2769 7.1890
Sm 1.9719 1.1384 4.3667
Cl 0.0000 0.0000 2.4758
Cl 0.0000 0.0000 9.0800
O 0.0000 2.2769 4.8577
O 1.9719 1.1384 6.6980
```

- Crystal system: trigonal
- Space group: P-3m1 (164)
- Spin magnetization: 0.57 μB/f.u.
- Energy relative to the elements, uncorrected: -2.524 eV/atom

***

No. 3
The following is a DFT calculation (PBE-GGA) of crystalline LiFeIr2 at its relaxed geometry.

```
4
Lattice="2.6756 0.0000 0.0000 0.0000 3.8970 0.0000 0.0000 0.0000 5.0786" Properties=species:S:1:pos:R:3 pbc="T T T"
Li 0.0000 0.0000 0.0000
Fe 1.3378 1.9485 1.2297
Ir 0.0000 0.0000 2.5225
Ir 1.3378 1.9485 3.8290
```

- Crystal system: orthorhombic
- Space group: Pmm2 (25)
- Spin magnetization: 2.38 μB/f.u.
- Energy of formation: -6 meV/atom

***

No. 4
The following is a DFT calculation (PBE-GGA) of crystalline Rb2MgTcBr at its relaxed geometry.

```
5
Lattice="7.1777 0.0000 0.0000 0.0000 7.1777 0.0000 0.0000 0.0000 5.4481" Properties=species:S:1:pos:R:3 pbc="T T T"
Rb 0.0000 3.5888 0.0000
Rb 3.5888 0.0000 0.0000
Mg 0.0000 0.0000 0.0000
Tc 3.5888 3.5888 2.7240
Br 0.0000 0.0000 2.7240
```

- Crystal system: tetragonal
- Space group: P4/mmm (123)
- Spin magnetization: 3.98 μB/f.u.
- Energy relative to the elements, uncorrected: 0.874 eV/atom

***

No. 5
The following is a DFT calculation (PBE-GGA) of crystalline CaAgI2 at its relaxed geometry.

```
16
Lattice="7.2213 0.0000 0.0000 0.0000 7.2213 0.0000 0.0000 0.0000 14.2849" Properties=species:S:1:pos:R:3 pbc="T T T"
Ca 0.0000 0.0000 0.0000
Ca 0.0000 3.6106 3.5712
Ca 3.6106 0.0000 10.7137
Ca 3.6106 3.6106 7.1425
Ag 0.0000 0.0000 7.1425
Ag 0.0000 3.6106 10.7137
Ag 3.6106 0.0000 3.5712
Ag 3.6106 3.6106 0.0000
I 1.7028 1.8053 1.7856
I 1.8053 5.3134 5.3568
I 1.8053 5.5185 12.4993
I 1.9079 1.8053 8.9281
I 5.3134 5.4160 8.9281
I 5.4160 1.7028 12.4993
I 5.4160 1.9079 5.3568
I 5.5185 5.4160 1.7856
```

- Crystal system: tetragonal
- Space group: I-42d (122)
- Spin magnetization: 0.00 μB/f.u.
- Energy relative to the elements, uncorrected: -0.544 eV/atom

***

No. 6
The following is a DFT calculation (PBE-GGA) of crystalline Ca4Pu3SiN8 at its relaxed geometry.

```
16
Lattice="5.7241 -3.5929 0.0000 5.7241 3.5929 0.0000 -4.3401 0.0000 5.6892" Properties=species:S:1:pos:R:3 pbc="T T T"
Ca 0.0000 0.0000 0.0000
Ca 2.8621 1.7965 0.0000
Ca 2.8621 -1.7965 0.0000
Ca 5.7241 0.0000 0.0000
Pu -2.1701 0.0000 2.8446
Pu 0.6920 1.7965 2.8446
Pu 0.6920 -1.7965 2.8446
Si 3.5541 0.0000 2.8446
N 2.3061 1.8916 4.1813
N -0.4686 0.0000 4.1353
N 4.8021 1.8916 1.5079
N 2.1893 0.0000 1.7565
N 4.9189 0.0000 3.9327
N 2.3061 -1.8916 4.1813
N 7.5767 0.0000 1.5539
N 4.8021 -1.8916 1.5079
```

- Crystal system: monoclinic
- Space group: C2/m (12)
- Spin magnetization: 3.89 μB/f.u.
- Energy relative to the elements, uncorrected: -0.915 eV/atom

***

No. 7
The following is a DFT calculation (PBE-GGA) of crystalline Tb4Pm5Pr at its relaxed geometry.

```
10
Lattice="9.1299 -1.8031 0.0000 9.1299 1.8031 0.0000 -1.1154 0.0000 10.5185" Properties=species:S:1:pos:R:3 pbc="T T T"
Tb 0.5529 0.0000 2.7196
Tb 5.1145 0.0000 6.2154
Tb 12.0299 0.0000 4.3031
Tb 16.5914 0.0000 7.7989
Pm 1.7761 0.0000 7.7326
Pm 3.3565 0.0000 1.0053
Pm 9.1299 0.0000 0.0000
Pm 13.7879 0.0000 9.5132
Pm 15.3682 0.0000 2.7859
Pr 8.5722 0.0000 5.2593
```

- Crystal system: monoclinic
- Space group: C2/m (12)
- Spin magnetization: 0.00 μB/f.u.
- Energy of formation: 158 meV/atom

***

No. 8
The following is a DFT calculation (PBE-GGA) of crystalline LiCdPt14 at its relaxed geometry.

```
16
Lattice="5.6410 0.0000 0.0000 0.0000 5.6410 0.0000 0.0000 0.0000 7.8603" Properties=species:S:1:pos:R:3 pbc="T T T"
Li 0.0000 0.0000 0.0000
Cd 2.8205 2.8205 0.0000
Pt 0.0000 0.0000 3.9302
Pt 0.0000 2.8205 0.0000
Pt 0.0000 2.8205 3.9302
Pt 1.3889 1.3889 1.9517
Pt 1.3889 1.3889 5.9086
Pt 1.3889 4.2522 1.9517
Pt 1.3889 4.2522 5.9086
Pt 2.8205 0.0000 0.0000
Pt 2.8205 0.0000 3.9302
Pt 2.8205 2.8205 3.9302
Pt 4.2522 1.3889 1.9517
Pt 4.2522 1.3889 5.9086
Pt 4.2522 4.2522 1.9517
Pt 4.2522 4.2522 5.9086
```

- Crystal system: tetragonal
- Space group: P4/mmm (123)
- Spin magnetization: 0.00 μB/f.u.
- Energy of formation: -135 meV/atom

***

No. 9
The following is a DFT calculation (PBE-GGA) of crystalline In4IrSe at its relaxed geometry.

```
6
Lattice="0.0000 4.1631 4.1631 4.1631 0.0000 4.1631 4.1631 4.1631 0.0000" Properties=species:S:1:pos:R:3 pbc="T T T"
In 1.0380 1.0380 1.0380
In 3.1251 3.1251 1.0380
In 3.1251 1.0380 3.1251
In 1.0380 3.1251 3.1251
Ir 6.2446 6.2446 6.2446
Se 4.1631 4.1631 4.1631
```

- Crystal system: cubic
- Space group: F-43m (216)
- Spin magnetization: 1.19 μB/f.u.
- Energy relative to the elements, uncorrected: 0.689 eV/atom

***

No. 10
The following is a DFT calculation (PBE-GGA) of crystalline HgPb2Cl at its relaxed geometry.

```
16
Lattice="7.6471 0.0000 0.0000 0.0000 7.6471 0.0000 0.0000 0.0000 7.6471" Properties=species:S:1:pos:R:3 pbc="T T T"
Hg 0.0000 0.0000 0.0000
Hg 0.0000 3.8235 3.8235
Hg 3.8235 0.0000 3.8235
Hg 3.8235 3.8235 0.0000
Pb 0.0000 0.0000 3.8235
Pb 0.0000 3.8235 0.0000
Pb 1.9118 1.9118 1.9118
Pb 1.9118 5.7353 5.7353
Pb 3.8235 0.0000 0.0000
Pb 3.8235 3.8235 3.8235
Pb 5.7353 1.9118 5.7353
Pb 5.7353 5.7353 1.9118
Cl 1.9118 1.9118 5.7353
Cl 1.9118 5.7353 1.9118
Cl 5.7353 1.9118 1.9118
Cl 5.7353 5.7353 5.7353
```

- Crystal system: cubic
- Space group: F-43m (216)
- Spin magnetization: 0.00 μB/f.u.
- Energy relative to the elements, uncorrected: -0.128 eV/atom

***

No. 11
The following is a DFT calculation (PBE-GGA) of crystalline WBr at its relaxed geometry.

```
4
Lattice="3.2987 0.0000 0.0000 -1.6493 2.8567 0.0000 0.0000 0.0000 9.5519" Properties=species:S:1:pos:R:3 pbc="T T T"
W 0.0000 1.9045 0.8811
W 1.6493 0.9522 8.6708
Br 0.0000 1.9045 6.6889
Br 1.6493 0.9522 2.8630
```

- Crystal system: trigonal
- Space group: P-3m1 (164)
- Spin magnetization: 0.00 μB/f.u.
- Energy relative to the elements, uncorrected: 0.082 eV/atom

***

Listing calculated density for the structures above in their given order: 6.2 4.4 14.0 2.2 3.6 7.3 7.2 18.9 8.4 9.7 9.7 Mg/m³.
Listing total DFT energy (no corrections) for the structures above in their given order: -4.909 -6.090 -7.030 -2.240 -2.533 -8.604 -4.548 -5.597 -3.194 -2.520 -7.231 eV per atom.